(1)
## CaTe (PBE)

Data for a geometry-optimized CaTe structure.

Values from the calculation:
* volume: 658.0 Å³ per cell
* energy relative to the elements, uncorrected: -1.3750 eV per atom
* magnetic moment: 0.0 Bohr magnetons per cell
* space-group type: Pm-3n
* N(E_F): 0.0 states/eV per cell

a b c (Å): 8.6976 8.6976 8.6976
angles (deg): 90.00 90.00 90.00
Sites, in units of the cell vectors:
Ca  0.2500  0.0000  0.5000
Ca  0.7500  0.0000  0.5000
Ca  0.0000  0.5000  0.2500
Ca  0.0000  0.5000  0.7500
Ca  0.5000  0.2500  0.0000
Ca  0.5000  0.7500  0.0000
Te  0.2500  0.5000  0.0000
Te  0.7500  0.5000  0.0000
Te  0.5000  0.0000  0.2500
Te  0.5000  0.0000  0.7500
Te  0.0000  0.2500  0.5000
Te  0.0000  0.7500  0.5000



(2)
## CaTe4 (PBE)

Data for a geometry-optimized CaTe4 structure.

Values from the calculation:
* volume: 176.4 Å³ per cell
* energy relative to the elements, uncorrected: -0.2656 eV per atom
* magnetic moment: 0.0 Bohr magnetons per cell
* offset from the most stable computed form: 0.000 eV/f.u.
* space-group type: Im-3m
* N(E_F): 3.9 states/eV per cell

a b c (Å): 6.1188 6.1188 6.1188
angles (deg): 109.47 109.47 109.47
Sites, in units of the cell vectors:
Ca  0.0000  0.0000  0.0000
Te  0.5000  0.0000  0.0000
Te  0.5000  0.5000  0.5000
Te  0.0000  0.5000  0.0000
Te  0.0000  0.0000  0.5000



(3)
## Ca3Te5 (PBE)

Data for a geometry-optimized Ca3Te5 structure.

Values from the calculation:
* volume: 500.8 Å³ per cell
* energy relative to the elements, uncorrected: -0.9537 eV per atom
* magnetic moment: 0.0 Bohr magnetons per cell
* space-group type: P6_3/mcm
* N(E_F): 16.7 states/eV per cell

a b c (Å): 9.5935 9.5935 6.2836
angles (deg): 90.00 90.00 120.00
Sites, in units of the cell vectors:
Ca  0.6279  0.0000  0.2500
Ca  0.3721  0.0000  0.7500
Ca  0.0000  0.6279  0.2500
Ca  0.3721  0.3721  0.2500
Ca  0.6279  0.6279  0.7500
Ca  0.0000  0.3721  0.7500
Te  0.3333  0.6667  0.0000
Te  0.6667  0.3333  0.5000
Te  0.6667  0.3333  0.0000
Te  0.3333  0.6667  0.5000
Te  0.2725  0.0000  0.2500
Te  0.7275  0.0000  0.7500
Te  0.0000  0.2725  0.2500
Te  0.7275  0.7275  0.2500
Te  0.2725  0.2725  0.7500
Te  0.0000  0.7275  0.7500



(4)
## CaTe3 (PBE)

Data for a geometry-optimized CaTe3 structure.

Values from the calculation:
* volume: 120.5 Å³ per cell
* energy relative to the elements, uncorrected: -0.3219 eV per atom
* magnetic moment: 0.0 Bohr magnetons per cell
* space-group type: Fm-3m
* N(E_F): 6.4 states/eV per cell

a b c (Å): 5.5435 5.5435 5.5435
angles (deg): 60.00 60.00 60.00
Sites, in units of the cell vectors:
Ca  0.0000  0.0000  0.0000
Te  0.2500  0.2500  0.2500
Te  0.5000  0.5000  0.5000
Te  0.7500  0.7500  0.7500



(5)
## CaTe (PBE)

Data for a geometry-optimized CaTe structure.

Values from the calculation:
* volume: 238.8 Å³ per cell
* energy relative to the elements, uncorrected: -1.3133 eV per atom
* magnetic moment: 0.0 Bohr magnetons per cell
* space-group type: Immm
* N(E_F): 0.0 states/eV per cell

a b c (Å): 8.4877 8.4877 8.4877
angles (deg): 141.71 140.56 56.14
Sites, in units of the cell vectors:
Ca  0.2565  0.2565  0.0000
Ca  0.7435  0.7435  0.0000
Te  0.8330  0.3330  0.5000
Te  0.1670  0.6670  0.5000



(6)
## CaTe (PBE)

Data for a geometry-optimized CaTe structure.

Values from the calculation:
* volume: 647.8 Å³ per cell
* energy relative to the elements, uncorrected: -1.3806 eV per atom
* magnetic moment: 0.0 Bohr magnetons per cell
* space-group type: P6_3/m
* N(E_F): 0.0 states/eV per cell

a b c (Å): 11.9293 11.9293 5.2560
angles (deg): 90.00 90.00 120.00
Sites, in units of the cell vectors:
Ca  0.6562  0.0710  0.2500
Ca  0.5852  0.6562  0.7500
Ca  0.9290  0.5852  0.2500
Ca  0.3438  0.9290  0.7500
Ca  0.4148  0.3438  0.2500
Ca  0.0710  0.4148  0.7500
Te  0.9182  0.3200  0.2500
Te  0.5982  0.9182  0.7500
Te  0.6800  0.5982  0.2500
Te  0.0818  0.6800  0.7500
Te  0.4018  0.0818  0.2500
Te  0.3200  0.4018  0.7500